{
  "formula": "BaSb2Cl",
  "functional": "SCAN",
  "state": "single point on PBEsol structure",
  "cell": [[-2.296, -4.676, 3.999], [3.276, -2.551, -1.102], [2.339, 1.609, 3.224]],
  "species": ["Sb", "Sb", "Ba", "Cl"],
  "fractional_positions": [[0.000, 0.000, 0.500], [0.000, 0.500, 0.000], [0.500, 0.500, 0.500], [0.500, 0.000, 0.000]],
  "final_energy_ry_per_atom": -2.3313,
  "dos_ef_per_ev_cell": 1.799,
  "m_tot_mub_per_fu": 0.00,
  "e_form_raw_ev_per_fu": -4.83
}


{
  "formula": "MnCuP2",
  "functional": "SCAN",
  "state": "single point on PBEsol structure",
  "cell": [[2.781, 0.000, 0.000], [1.391, 2.408, 0.000], [1.391, 0.803, 7.053]],
  "species": ["P", "P", "Cu", "Mn"],
  "fractional_positions": [[0.743, 0.743, 0.770], [0.257, 0.257, 0.230], [0.500, 0.500, 0.500], [0.000, 0.000, 0.000]],
  "final_energy_ry_per_atom": -0.9993,
  "delta_e_f_mev_per_atom": -33,
  "dos_ef_per_ev_cell": 1.992,
  "m_tot_mub_per_fu": 0.00
}


{
  "formula": "Rb2ReSiF",
  "functional": "SCAN",
  "state": "single point on PBEsol structure",
  "cell": [[-1.484, -3.480, 2.601], [3.147, -4.155, -3.764], [5.207, 0.566, 3.729]],
  "species": ["Rb", "Rb", "Si", "F", "Re"],
  "fractional_positions": [[0.000, 0.000, 0.500], [0.000, 0.500, 0.000], [0.500, 0.000, 0.000], [0.500, 0.500, 0.500], [0.000, 0.000, 0.000]],
  "final_energy_ry_per_atom": -1.8317,
  "dos_ef_per_ev_cell": 2.970,
  "m_tot_mub_per_fu": 2.83,
  "e_form_raw_ev_per_fu": 1.52
}


{
  "formula": "ZrZnN2",
  "functional": "SCAN",
  "state": "single point on PBEsol structure",
  "cell": [[-4.420, -1.519, 0.347], [1.554, -4.229, 1.289], [1.324, 4.268, 3.888]],
  "species": ["Zr", "Zr", "Zn", "Zn", "N", "N", "N", "N"],
  "fractional_positions": [[0.000, 0.000, 0.000], [0.250, 0.750, 0.500], [0.500, 0.500, 0.000], [0.750, 0.250, 0.500], [0.873, 0.375, 0.250], [0.377, 0.875, 0.250], [0.125, 0.127, 0.750], [0.625, 0.623, 0.750]],
  "final_energy_ry_per_atom": -1.2310,
  "dos_ef_per_ev_cell": 0.000,
  "m_tot_mub_per_fu": 0.00,
  "e_form_raw_ev_per_fu": -4.20
}


{
  "formula": "SrZnCd2F",
  "functional": "SCAN",
  "state": "single point on PBEsol structure",
  "cell": [[-3.811, 1.897, 1.835], [-1.586, -4.590, 1.451], [2.411, 0.565, 4.422]],
  "species": ["Zn", "F", "Cd", "Cd", "Sr"],
  "fractional_positions": [[0.000, 0.000, 0.000], [0.500, 0.000, 0.000], [0.000, 0.500, 0.000], [0.000, 0.000, 0.500], [0.500, 0.500, 0.500]],
  "final_energy_ry_per_atom": -1.5211,
  "dos_ef_per_ev_cell": 1.907,
  "m_tot_mub_per_fu": 0.00,
  "e_form_raw_ev_per_fu": -3.32
}


{
  "formula": "CaSe2SN",
  "functional": "SCAN",
  "state": "single point on PBEsol structure",
  "cell": [[3.434, 0.000, 0.000], [0.000, 5.175, 0.000], [0.000, 0.000, 5.175]],
  "species": ["Se", "Se", "N", "S", "Ca"],
  "fractional_positions": [[0.000, 0.500, 0.000], [0.000, 0.000, 0.500], [0.500, 0.000, 0.000], [0.000, 0.000, 0.000], [0.500, 0.500, 0.500]],
  "final_energy_ry_per_atom": -1.0089,
  "dos_ef_per_ev_cell": 3.902,
  "m_tot_mub_per_fu": 0.01,
  "e_form_raw_ev_per_fu": 0.11
}


{
  "formula": "As5Ir4",
  "functional": "SCAN",
  "state": "single point on PBEsol structure",
  "cell": [[4.006, 0.000, 0.000], [2.003, 5.934, 0.000], [2.003, 0.000, 5.934]],
  "species": ["As", "As", "As", "As", "As", "Ir", "Ir", "Ir", "Ir"],
  "fractional_positions": [[0.326, 0.347, 0.000], [0.674, 0.000, 0.653], [0.674, 0.653, 0.000], [0.326, 0.000, 0.347], [0.000, 0.000, 0.000], [0.000, 0.661, 0.339], [0.661, 0.339, 0.339], [0.339, 0.661, 0.661], [0.000, 0.339, 0.661]],
  "final_energy_ry_per_atom": -3.1142,
  "delta_e_f_mev_per_atom": 446,
  "dos_ef_per_ev_cell": 5.805,
  "m_tot_mub_per_fu": 0.00
}


{
  "formula": "Ta2CoNi",
  "functional": "SCAN",
  "state": "single point on PBEsol structure",
  "cell": [[-2.422, -0.670, -1.243], [-0.139, -2.237, -1.685], [-2.889, -5.786, 5.586]],
  "species": ["Co", "Ta", "Ta", "Ni"],
  "fractional_positions": [[0.500, 0.500, 0.500], [0.751, 0.751, 0.747], [0.249, 0.249, 0.253], [0.000, 0.000, 0.000]],
  "final_energy_ry_per_atom": -3.0446,
  "delta_e_f_mev_per_atom": 237,
  "dos_ef_per_ev_cell": 4.567,
  "m_tot_mub_per_fu": 1.70
}


{
  "formula": "CrAu2Se",
  "functional": "SCAN",
  "state": "single point on PBEsol structure",
  "cell": [[-0.097, -0.499, -2.956], [-1.844, -3.815, 0.705], [-4.157, 4.591, 0.882]],
  "species": ["Cr", "Au", "Au", "Se"],
  "fractional_positions": [[0.525, 0.525, 0.050], [0.969, 0.969, 0.939], [0.818, 0.318, 0.636], [0.187, 0.687, 0.374]],
  "final_energy_ry_per_atom": -3.2470,
  "dos_ef_per_ev_cell": 2.756,
  "m_tot_mub_per_fu": 3.03,
  "e_form_raw_ev_per_fu": 0.07
}


{
  "formula": "Mn5Co24",
  "functional": "SCAN",
  "state": "single point on PBEsol structure",
  "cell": [[-6.192, 1.134, 3.944], [0.855, -7.276, -1.229], [5.851, 2.577, 3.781]],
  "species": ["Co", "Co", "Co", "Co", "Co", "Co", "Co", "Co", "Co", "Co", "Co", "Co", "Co", "Co", "Co", "Co", "Co", "Co", "Co", "Co", "Co", "Co", "Co", "Co", "Mn", "Mn", "Mn", "Mn", "Mn"],
  "fractional_positions": [[0.605, 0.285, 0.605], [0.192, 0.000, 0.374], [0.000, 0.192, 0.374], [0.395, 0.000, 0.679], [0.679, 0.395, 0.000], [0.285, 0.605, 0.605], [0.000, 0.679, 0.395], [0.626, 0.818, 0.626], [0.395, 0.679, 0.000], [0.182, 0.808, 0.808], [0.374, 0.192, 0.000], [0.808, 0.182, 0.808], [0.374, 0.000, 0.192], [0.679, 0.000, 0.395], [0.818, 0.626, 0.626], [0.626, 0.626, 0.818], [0.000, 0.395, 0.679], [0.321, 0.715, 0.321], [0.808, 0.808, 0.182], [0.000, 0.374, 0.192], [0.321, 0.321, 0.715], [0.715, 0.321, 0.321], [0.192, 0.374, 0.000], [0.605, 0.605, 0.285], [0.000, 0.632, 0.000], [0.632, 0.000, 0.000], [0.368, 0.368, 0.368], [0.000, 0.000, 0.000], [0.000, 0.000, 0.632]],
  "final_energy_ry_per_atom": -1.2880,
  "delta_e_f_mev_per_atom": -56,
  "dos_ef_per_ev_cell": 21.930,
  "m_tot_mub_per_fu": 60.27
}


{
  "formula": "ZrTiAuCl2",
  "functional": "SCAN",
  "state": "single point on PBEsol structure",
  "cell": [[4.450, 0.000, 0.000], [0.000, 4.450, 0.000], [0.000, 0.000, 5.324]],
  "species": ["Cl", "Cl", "Au", "Zr", "Ti"],
  "fractional_positions": [[0.500, 0.000, 0.000], [0.000, 0.500, 0.000], [0.000, 0.000, 0.500], [0.500, 0.500, 0.500], [0.000, 0.000, 0.000]],
  "final_energy_ry_per_atom": -1.9623,
  "dos_ef_per_ev_cell": 4.184,
  "m_tot_mub_per_fu": 1.18,
  "e_form_raw_ev_per_fu": -1.65
}


{
  "formula": "NiAsRh",
  "functional": "SCAN",
  "state": "single point on PBEsol structure",
  "cell": [[2.969, 0.000, 0.000], [0.000, 3.919, 0.000], [0.000, -1.960, 3.394]],
  "species": ["Ni", "Rh", "As"],
  "fractional_positions": [[0.767, 0.667, 0.333], [0.275, 0.333, 0.667], [0.958, 0.000, 0.000]],
  "final_energy_ry_per_atom": -1.7364,
  "delta_e_f_mev_per_atom": -247,
  "dos_ef_per_ev_cell": 1.794,
  "m_tot_mub_per_fu": 0.00
}


{
  "formula": "Hg2MoW",
  "functional": "SCAN",
  "state": "single point on PBEsol structure",
  "cell": [[-3.774, -0.115, 1.149], [-1.071, -1.119, -3.630], [2.908, -3.637, 2.409]],
  "species": ["Hg", "Hg", "Mo", "W"],
  "fractional_positions": [[0.750, 0.250, 0.500], [0.250, 0.750, 0.500], [0.500, 0.500, 0.000], [0.000, 0.000, 0.000]],
  "final_energy_ry_per_atom": -4.3686,
  "delta_e_f_mev_per_atom": 788,
  "dos_ef_per_ev_cell": 1.958,
  "m_tot_mub_per_fu": 0.00
}


{
  "formula": "Li3SbP",
  "functional": "SCAN",
  "state": "single point on PBEsol structure",
  "cell": [[4.582, 0.000, 0.000], [0.000, 4.582, 0.000], [0.000, 0.000, 4.582]],
  "species": ["P", "Li", "Li", "Li", "Sb"],
  "fractional_positions": [[0.000, 0.000, 0.000], [0.000, 0.500, 0.000], [0.000, 0.000, 0.500], [0.500, 0.000, 0.000], [0.500, 0.500, 0.500]],
  "final_energy_ry_per_atom": -0.8214,
  "dos_ef_per_ev_cell": 3.099,
  "m_tot_mub_per_fu": 0.00,
  "e_form_raw_ev_per_fu": -1.05
}


{
  "formula": "Sb2IrAu",
  "functional": "SCAN",
  "state": "single point on PBEsol structure",
  "cell": [[4.625, 0.000, 0.000], [-2.313, 4.295, 0.004], [0.000, 2.486, 3.900]],
  "species": ["Sb", "Sb", "Ir", "Au"],
  "fractional_positions": [[0.250, 0.500, 0.250], [0.750, 0.500, 0.750], [0.500, 0.000, 0.500], [0.000, 0.000, 0.000]],
  "final_energy_ry_per_atom": -3.9216,
  "dos_ef_per_ev_cell": 1.612,
  "m_tot_mub_per_fu": 0.00,
  "e_form_raw_ev_per_fu": 1.35
}


{
  "formula": "Sc3Co",
  "functional": "SCAN",
  "state": "single point on PBEsol structure",
  "cell": [[4.192, 0.000, 0.000], [0.000, 4.192, 0.000], [0.000, 0.000, 4.192]],
  "species": ["Sc", "Sc", "Sc", "Co"],
  "fractional_positions": [[0.500, 0.500, 0.000], [0.000, 0.500, 0.500], [0.500, 0.000, 0.500], [0.000, 0.000, 0.000]],
  "final_energy_ry_per_atom": -1.0893,
  "delta_e_f_mev_per_atom": 183,
  "dos_ef_per_ev_cell": 5.361,
  "m_tot_mub_per_fu": 0.00
}


{
  "formula": "LaY2MgTc",
  "functional": "SCAN",
  "state": "single point on PBEsol structure",
  "cell": [[4.665, 0.000, 0.000], [0.000, 5.467, 0.000], [0.000, 0.000, 5.467]],
  "species": ["Y", "Y", "La", "Tc", "Mg"],
  "fractional_positions": [[0.000, 0.500, 0.000], [0.000, 0.000, 0.500], [0.000, 0.000, 0.000], [0.500, 0.000, 0.000], [0.500, 0.500, 0.500]],
  "final_energy_ry_per_atom": -1.9742,
  "delta_e_f_mev_per_atom": 905,
  "dos_ef_per_ev_cell": 3.687,
  "m_tot_mub_per_fu": 0.05
}


{
  "formula": "K2TeSe",
  "functional": "SCAN",
  "state": "single point on PBEsol structure",
  "cell": [[5.585, 0.000, 0.000], [2.792, 4.836, 0.000], [2.792, 1.612, 4.560]],
  "species": ["Se", "K", "K", "Te"],
  "fractional_positions": [[0.500, 0.500, 0.500], [0.750, 0.750, 0.750], [0.000, 0.000, 0.000], [0.250, 0.250, 0.250]],
  "final_energy_ry_per_atom": -1.3982,
  "dos_ef_per_ev_cell": 4.199,
  "m_tot_mub_per_fu": 0.01,
  "e_form_raw_ev_per_fu": -2.11
}


{
  "formula": "AgAu5",
  "functional": "SCAN",
  "state": "single point on PBEsol structure",
  "cell": [[-2.236, 0.017, -1.789], [2.410, -2.765, -3.037], [-1.597, -6.041, 4.231]],
  "species": ["Au", "Au", "Au", "Au", "Au", "Ag"],
  "fractional_positions": [[0.889, 0.500, 0.778], [0.555, 0.500, 0.110], [0.222, 0.500, 0.443], [0.666, 0.000, 0.332], [0.334, 0.000, 0.669], [0.000, 0.000, 0.000]],
  "final_energy_ry_per_atom": -4.6220,
  "delta_e_f_mev_per_atom": -27,
  "dos_ef_per_ev_cell": 2.002,
  "m_tot_mub_per_fu": 0.00
}


{
  "formula": "AgGePt3",
  "functional": "SCAN",
  "state": "single point on PBEsol structure",
  "cell": [[4.574, 0.000, 0.000], [0.000, 4.574, 0.000], [0.000, 0.000, 4.574]],
  "species": ["Pt", "Pt", "Pt", "Ag", "Ge"],
  "fractional_positions": [[0.500, 0.000, 0.000], [0.000, 0.000, 0.500], [0.000, 0.500, 0.000], [0.500, 0.500, 0.500], [0.000, 0.000, 0.000]],
  "final_energy_ry_per_atom": -3.8012,
  "delta_e_f_mev_per_atom": 489,
  "dos_ef_per_ev_cell": 4.250,
  "m_tot_mub_per_fu": 0.00
}